No. 1
CuTe2Au: relaxed, GGA-PBE.

a b c (Å): 7.297 4.218 7.296
angles (deg): 90.00 90.00 90.00
Space group Cm (No. 8)
Inequivalent atoms, fractional coordinates:
Cu1 0.000 0.000 0.000 (multiplicity 2)
Te1 0.166 0.500 0.886 (multiplicity 2)
Te2 0.499 0.500 0.350 (multiplicity 2)
Au1 0.165 0.500 0.517 (multiplicity 2)

Values from the calculation:
Crystal system: monoclinic
Total energy (eV/atom): -3.4120
Uncorrected formation energy (eV per atom): 0.002

No. 2
Ce3ZnGe2: relaxed, GGA-PBE.

a b c (Å): 12.365 4.172 10.697
angles (deg): 90.00 90.00 90.00
Space group Pnma (No. 62)
Inequivalent atoms, fractional coordinates:
Ce1 0.040 0.250 0.089 (multiplicity 4)
Ce2 0.129 0.750 0.579 (multiplicity 4)
Ce3 0.210 0.250 0.767 (multiplicity 4)
Zn1 0.127 0.250 0.360 (multiplicity 4)
Ge1 0.026 0.750 0.302 (multiplicity 4)
Ge2 0.200 0.750 0.987 (multiplicity 4)

Values from the calculation:
Crystal system: orthorhombic
Formation enthalpy at 0 K (meV per atom): -554.9
Total energy (eV/atom): -5.2733

No. 3
KSc2TiMo: relaxed, GGA-PBE.

a b c (Å): 5.335 5.335 4.809
angles (deg): 90.00 90.00 90.00
Space group P4/mmm (No. 123)
Inequivalent atoms, fractional coordinates:
K1 0.000 0.000 0.000 (multiplicity 1)
Sc1 0.000 0.500 0.500 (multiplicity 2)
Ti1 0.500 0.500 0.000 (multiplicity 1)
Mo1 0.500 0.500 0.500 (multiplicity 1)

Values from the calculation:
Crystal system: tetragonal
Excess energy over the best structure of this formula in the dataset (eV per atom): 0.000
Formation enthalpy at 0 K (meV per atom): 634.1
Total energy (eV/atom): -5.8632

No. 4
LiIn16Ga12: relaxed, GGA-PBE.

a b c (Å): 11.374 14.420 9.168
angles (deg): 90.00 114.67 90.00
Space group Cm (No. 8)
Inequivalent atoms, fractional coordinates:
Li1 0.000 0.000 0.000 (multiplicity 2)
In1 0.089 0.201 0.024 (multiplicity 4)
In2 0.121 0.500 0.340 (multiplicity 2)
In3 0.269 0.318 0.367 (multiplicity 4)
In4 0.279 0.000 0.050 (multiplicity 2)
In5 0.280 0.380 0.702 (multiplicity 4)
In6 0.286 0.000 0.689 (multiplicity 2)
In7 0.307 0.379 0.058 (multiplicity 4)
In8 0.446 0.185 0.276 (multiplicity 4)
In9 0.459 0.186 0.657 (multiplicity 4)
In10 0.463 0.500 0.386 (multiplicity 2)
Ga1 0.028 0.404 0.008 (multiplicity 4)
Ga2 0.042 0.093 0.726 (multiplicity 4)
Ga3 0.095 0.500 0.776 (multiplicity 2)
Ga4 0.141 0.195 0.552 (multiplicity 4)
Ga5 0.183 0.098 0.325 (multiplicity 4)
Ga6 0.295 0.193 0.885 (multiplicity 4)
Ga7 0.418 0.000 0.452 (multiplicity 2)

Values from the calculation:
Crystal system: monoclinic
Formation enthalpy at 0 K (meV per atom): 10.7
Total energy (eV/atom): -2.8187

No. 5
Tl2SiSe: relaxed, GGA-PBE.

a b c (Å): 3.959 3.959 6.483
angles (deg): 90.00 90.00 90.00
Space group P4/mmm (No. 123)
Inequivalent atoms, fractional coordinates:
Tl1 0.000 0.000 0.248 (multiplicity 2)
Si1 0.500 0.500 0.000 (multiplicity 1)
Se1 0.500 0.500 0.500 (multiplicity 1)

Values from the calculation:
Crystal system: tetragonal
Excess energy over the best structure of this formula in the dataset (eV per atom): 0.267
Total energy (eV/atom): -3.1227
Uncorrected formation energy (eV per atom): 0.287

No. 6
Th2GaAu: relaxed, GGA-PBE.

a b c (Å): 3.436 3.436 8.492
angles (deg): 90.00 90.00 90.00
Space group P4/mmm (No. 123)
Inequivalent atoms, fractional coordinates:
Th1 0.000 0.000 0.250 (multiplicity 2)
Ga1 0.500 0.500 0.000 (multiplicity 1)
Au1 0.500 0.500 0.500 (multiplicity 1)

Values from the calculation:
Crystal system: tetragonal
Formation enthalpy at 0 K (meV per atom): -496.2
Total energy (eV/atom): -5.7822

No. 7
Ba2In6AgGe: relaxed, GGA-PBE.

a b c (Å): 7.3605 7.3605 39.6645
angles (deg): 90.00 90.00 120.00
Space group R-3m (No. 166, hexagonal axes)
Inequivalent atoms, fractional coordinates:
Ba1 0.0000 0.0000 0.1069 (multiplicity 6)
Ba2 0.0000 0.0000 0.2803 (multiplicity 6)
In1 0.0549 0.5274 0.3016 (multiplicity 18)
In2 0.0569 0.5284 0.8655 (multiplicity 18)
Ag1 0.0000 0.0000 0.0000 (multiplicity 3)
Ag2 0.0000 0.0000 0.5000 (multiplicity 3)
Ge1 0.0000 0.0000 0.4262 (multiplicity 6)

Values from the calculation:
Crystal system: trigonal
Formation enthalpy at 0 K (meV per atom): -176.5
Total energy (eV/atom): -2.9510

No. 8
Y6Fe2Te: relaxed, GGA-PBE.

a b c (Å): 9.575 9.625 10.155
angles (deg): 90.00 90.00 90.00
Space group Immm (No. 71)
Inequivalent atoms, fractional coordinates:
Y1 0.000 0.193 0.186 (multiplicity 8)
Y2 0.185 0.215 0.500 (multiplicity 8)
Y3 0.214 0.500 0.270 (multiplicity 8)
Fe1 0.000 0.000 0.395 (multiplicity 4)
Fe2 0.114 0.000 0.000 (multiplicity 4)
Te1 0.000 0.500 0.000 (multiplicity 2)
Te2 0.000 0.500 0.500 (multiplicity 2)

Values from the calculation:
Crystal system: orthorhombic
Total energy (eV/atom): -6.8046
Uncorrected formation energy (eV per atom): -0.266

No. 9
SrEuCu: relaxed, GGA-PBE.

a b c (Å): 3.772 3.772 13.748
angles (deg): 90.00 90.00 90.00
Space group I4mm (No. 107)
Inequivalent atoms, fractional coordinates:
Sr1 0.000 0.000 0.000 (multiplicity 2)
Eu1 0.000 0.000 0.262 (multiplicity 2)
Cu1 0.000 0.000 0.640 (multiplicity 2)

Values from the calculation:
Crystal system: tetragonal
Excess energy over the best structure of this formula in the dataset (eV per atom): 0.000
Formation enthalpy at 0 K (meV per atom): -13.2
Total energy (eV/atom): -5.3640

No. 10
Ba2YZnTe5: relaxed, GGA-PBE.

a b c (Å): 4.544 20.313 14.044
angles (deg): 90.00 90.00 90.00
Space group Cmc2_1 (No. 36)
Inequivalent atoms, fractional coordinates:
Ba1 0.000 0.120 0.000 (multiplicity 4)
Ba2 0.000 0.124 0.633 (multiplicity 4)
Y1 0.000 0.202 0.326 (multiplicity 4)
Zn1 0.000 0.436 0.740 (multiplicity 4)
Te1 0.000 0.047 0.344 (multiplicity 4)
Te2 0.000 0.299 0.974 (multiplicity 4)
Te3 0.000 0.306 0.674 (multiplicity 4)
Te4 0.000 0.351 0.318 (multiplicity 4)
Te5 0.000 0.500 0.077 (multiplicity 4)

Values from the calculation:
Crystal system: orthorhombic
Total energy (eV/atom): -4.2798
Uncorrected formation energy (eV per atom): -1.247

No. 11
Dy3Er2Tl: relaxed, GGA-PBE.

a b c (Å): 17.120 6.721 6.364
angles (deg): 90.00 99.92 90.00
Space group C2/c (No. 15)
Inequivalent atoms, fractional coordinates:
Dy1 0.000 0.221 0.250 (multiplicity 4)
Dy2 0.168 0.114 0.034 (multiplicity 8)
Er1 0.163 0.395 0.576 (multiplicity 8)
Tl1 0.000 0.285 0.750 (multiplicity 4)

Values from the calculation:
Crystal system: monoclinic
Excess energy over the best structure of this formula in the dataset (eV per atom): 0.051
Formation enthalpy at 0 K (meV per atom): -59.5
Total energy (eV/atom): -4.2759

No. 12
SnHg: relaxed, GGA-PBE.

a b c (Å): 7.235 10.244 5.854
angles (deg): 90.00 90.00 90.00
Space group Cmcm (No. 63)
Inequivalent atoms, fractional coordinates:
Sn1 0.244 0.054 0.250 (multiplicity 8)
Hg1 0.000 0.199 0.750 (multiplicity 4)
Hg2 0.000 0.310 0.250 (multiplicity 4)

Values from the calculation:
Crystal system: orthorhombic
Formation enthalpy at 0 K (meV per atom): 57.1
Total energy (eV/atom): -2.0952

No. 13
Zr2NbPbO8: relaxed, GGA-PBE.

a b c (Å): 7.016 7.021 6.706
angles (deg): 90.00 90.00 90.00
Space group Cmmm (No. 65)
Inequivalent atoms, fractional coordinates:
Zr1 0.000 0.000 0.245 (multiplicity 4)
Nb1 0.000 0.500 0.000 (multiplicity 2)
Pb1 0.000 0.500 0.500 (multiplicity 2)
O1 0.000 0.177 0.500 (multiplicity 4)
O2 0.000 0.203 0.000 (multiplicity 4)
O3 0.198 0.500 0.216 (multiplicity 8)

Values from the calculation:
Crystal system: orthorhombic
Total energy (eV/atom): -8.4220
Uncorrected formation energy (eV per atom): -2.544

No. 14
ScFeCu: relaxed, GGA-PBE.

a b c (Å): 4.1977 4.1977 3.0685
angles (deg): 90.00 90.00 120.00
Space group P-6m2 (No. 187)
Inequivalent atoms, fractional coordinates:
Sc1 0.0000 0.0000 0.0000 (multiplicity 1)
Fe1 0.6667 0.3333 0.5000 (multiplicity 1)
Cu1 0.3333 0.6667 0.5000 (multiplicity 1)

Values from the calculation:
Crystal system: hexagonal
Formation enthalpy at 0 K (meV per atom): 58.2
Total energy (eV/atom): -6.2386

No. 15
AlHgPS2: relaxed, GGA-PBE.

a b c (Å): 4.577 4.577 4.954
angles (deg): 90.00 90.00 90.00
Space group P4/mmm (No. 123)
Inequivalent atoms, fractional coordinates:
Al1 0.000 0.000 0.000 (multiplicity 1)
Hg1 0.500 0.500 0.500 (multiplicity 1)
P1 0.000 0.000 0.500 (multiplicity 1)
S1 0.000 0.500 0.000 (multiplicity 2)

Values from the calculation:
Crystal system: tetragonal
Excess energy over the best structure of this formula in the dataset (eV per atom): 0.000
Total energy (eV/atom): -3.2281
Uncorrected formation energy (eV per atom): 0.314

No. 16
PaTi2Pb: relaxed, GGA-PBE.

a b c (Å): 4.721 4.721 3.661
angles (deg): 90.00 90.00 90.00
Space group P4/mmm (No. 123)
Inequivalent atoms, fractional coordinates:
Pa1 0.000 0.000 0.000 (multiplicity 1)
Ti1 0.000 0.500 0.500 (multiplicity 2)
Pb1 0.500 0.500 0.000 (multiplicity 1)

Values from the calculation:
Crystal system: tetragonal
Excess energy over the best structure of this formula in the dataset (eV per atom): 0.000
Formation enthalpy at 0 K (meV per atom): -14.6
Total energy (eV/atom): -7.2632

No. 17
CsKCd2Au2: relaxed, GGA-PBE.

a b c (Å): 4.9343 4.9343 9.6793
angles (deg): 90.00 90.00 120.00
Space group P-3m1 (No. 164)
Inequivalent atoms, fractional coordinates:
Cs1 0.0000 0.0000 0.0000 (multiplicity 1)
K1 0.0000 0.0000 0.5000 (multiplicity 1)
Cd1 0.3333 0.6667 0.2840 (multiplicity 2)
Au1 0.3333 0.6667 0.7226 (multiplicity 2)

Values from the calculation:
Crystal system: trigonal
Formation enthalpy at 0 K (meV per atom): -242.3
Total energy (eV/atom): -1.9650

No. 18
LaY2HoEr5: relaxed, GGA-PBE.

a b c (Å): 8.899 8.899 14.759
angles (deg): 90.00 90.00 90.00
Space group I4/mcm (No. 140)
Inequivalent atoms, fractional coordinates:
La1 0.000 0.000 0.250 (multiplicity 4)
Y1 0.113 0.387 0.000 (multiplicity 8)
Ho1 0.000 0.500 0.250 (multiplicity 4)
Er1 0.000 0.000 0.000 (multiplicity 4)
Er2 0.206 0.294 0.367 (multiplicity 16)

Values from the calculation:
Crystal system: tetragonal
Formation enthalpy at 0 K (meV per atom): 296.9
Total energy (eV/atom): -4.7306

No. 19
Mn2Ni5Ge: relaxed, GGA-PBE.

a b c (Å): 5.077 10.064 3.716
angles (deg): 90.00 90.00 90.00
Space group Pbam (No. 55)
Inequivalent atoms, fractional coordinates:
Mn1 0.209 0.135 0.000 (multiplicity 4)
Ni1 0.000 0.000 0.500 (multiplicity 2)
Ni2 0.041 0.749 0.500 (multiplicity 4)
Ni3 0.218 0.383 0.000 (multiplicity 4)
Ge1 0.000 0.500 0.500 (multiplicity 2)

Values from the calculation:
Crystal system: orthorhombic
Formation enthalpy at 0 K (meV per atom): -184.8
Total energy (eV/atom): -6.6677

No. 20
SrCuSe2: relaxed, GGA-PBE.

a b c (Å): 3.933 6.158 7.953
angles (deg): 90.00 90.00 90.00
Space group Immm (No. 71)
Inequivalent atoms, fractional coordinates:
Sr1 0.000 0.000 0.000 (multiplicity 2)
Cu1 0.000 0.000 0.500 (multiplicity 2)
Se1 0.000 0.500 0.194 (multiplicity 4)

Values from the calculation:
Crystal system: orthorhombic
Total energy (eV/atom): -4.0057
Uncorrected formation energy (eV per atom): -0.819